TbDyTh2 (PBE, relaxed); total DFT energy (no corrections) = -5.99 eV/atom; magnetization = 0.00 μB/cell; Fermi-level density of states = 1.503 states/eV per atom; SG = No. 166
1.0
-0.5445 3.0156 -1.8415
-0.7161 -0.1471 -3.4996
-11.6684 0.3466 0.5471
Th Dy Tb
2 1 1
Direct
0.2501 0.2501 0.2496 Th
0.7499 0.7499 0.7504 Th
0.0000 0.0000 0.0000 Dy
0.5000 0.5000 0.5000 Tb